## LiFeCl3 (PBE)

Data for LiFeCl3 after structural relaxation.

Geometry as extended XYZ:
```
5
Lattice="4.6261 0.0000 0.0000 0.0000 4.6261 0.0000 0.0000 0.0000 4.6261" Properties=species:S:1:pos:R:3 pbc="T T T"
Li 0.0000 0.0000 0.0000
Fe 2.3130 2.3130 2.3130
Cl 0.0000 2.3130 0.0000
Cl 0.0000 0.0000 2.3130
Cl 2.3130 0.0000 0.0000
```

Properties
DOS(E_F)   16.3 states/eV/f.u.
Calculated density   2837 kg/m³
Crystal system   cubic
Uncorrected formation energy   -0.347 eV per atom